Record 1
A plane-wave DFT calculation with PBE-GGA was carried out for TcIr2 after structural relaxation.

a = 7.1966 Å, b = 7.1966 Å, c = 7.1966 Å
α = 90.00°, β = 90.00°, γ = 90.00°
Closest atoms and distances in Å follow each position.
Space group Fd-3m (No. 227, origin choice 2)
One atom of each set of equivalent atoms:
Tc1 0.1250 0.1250 0.1250 (multiplicity 8)  12 Ir 2.98, 4 Tc 3.12
Ir1 0.0000 0.0000 0.5000 (multiplicity 16)  6 Ir 2.54

Results
As for the crystal system: cubic. The calculation puts the energy above the most stable polymorph in this dataset at 0.000 kcal/mol of atoms. Its energy relative to the elements is 0.453 eV/atom. The calculation puts the size of the total moment at 0.05 μB/cell. The electronic total energy comes out at -8.90 eV per atom.

Record 2
A plane-wave DFT calculation with PBE-GGA was carried out for TcIr2 after structural relaxation.

a = 10.6843 Å, b = 10.6843 Å, c = 10.6843 Å
α = 90.00°, β = 90.00°, γ = 90.00°
Closest atoms and distances in Å follow each position.
Space group Fd-3m (No. 227, origin choice 2)
One atom of each set of equivalent atoms:
Tc1 0.1250 0.1250 0.1250 (multiplicity 8)  4 Ir 2.31
Ir1 0.0000 0.0000 0.0000 (multiplicity 16)  2 Tc 2.31

Results
As for the crystal system: cubic. The calculation puts the energy above the most stable polymorph in this dataset at 61.863 kcal/mol of atoms. Its energy relative to the elements is 3.136 eV/atom. The calculation puts the size of the total moment at 0.12 μB/cell. The electronic total energy comes out at -6.22 eV per atom.

Record 3
A plane-wave DFT calculation with PBE-GGA was carried out for TcTe2Ir after structural relaxation.

a = 6.7808 Å, b = 6.7808 Å, c = 6.7808 Å
α = 90.00°, β = 90.00°, γ = 90.00°
Closest atoms and distances in Å follow each position.
Space group F-43m (No. 216)
One atom of each set of equivalent atoms:
Tc1 0.0000 0.0000 0.0000 (multiplicity 4)  4 Ir 2.94, 4 Te 2.94
Te1 0.0000 0.0000 0.5000 (multiplicity 4)  4 Te 2.94, 4 Ir 2.94
Te2 0.2500 0.2500 0.7500 (multiplicity 4)  4 Tc 2.94, 4 Te 2.94
Ir1 0.2500 0.2500 0.2500 (multiplicity 4)  4 Te 2.94, 4 Tc 2.94

Results
As for the crystal system: cubic. The calculation puts the size of the total moment at 3.88 μB/cell. The electronic total energy comes out at -5.43 eV per atom.

Record 4
A plane-wave DFT calculation with PBE-GGA was carried out for TcTeIr after structural relaxation.

a = 6.1617 Å, b = 6.1617 Å, c = 6.1617 Å
α = 90.00°, β = 90.00°, γ = 90.00°
Closest atoms and distances in Å follow each position.
Space group F-43m (No. 216)
One atom of each set of equivalent atoms:
Tc1 0.0000 0.0000 0.0000 (multiplicity 4)  4 Te 2.67, 4 Ir 2.67
Te1 0.2500 0.2500 0.2500 (multiplicity 4)  4 Tc 2.67
Ir1 0.2500 0.2500 0.7500 (multiplicity 4)  4 Tc 2.67

Results
As for the crystal system: cubic. The calculation puts the energy above the most stable polymorph in this dataset at 0.000 kcal/mol of atoms. The calculation puts the size of the total moment at 0.01 μB/cell. The electronic total energy comes out at -7.10 eV per atom.

Record 5
A plane-wave DFT calculation with PBE-GGA was carried out for TlTcIr2 after structural relaxation.

a = 6.3966 Å, b = 6.3966 Å, c = 6.3966 Å
α = 90.00°, β = 90.00°, γ = 90.00°
Closest atoms and distances in Å follow each position.
Space group F-43m (No. 216)
One atom of each set of equivalent atoms:
Tl1 0.0000 0.0000 0.0000 (multiplicity 4)  4 Ir 2.77, 4 Tc 2.77
Tc1 0.2500 0.2500 0.2500 (multiplicity 4)  4 Tl 2.77, 4 Ir 2.77
Ir1 0.0000 0.0000 0.5000 (multiplicity 4)  4 Tc 2.77, 4 Ir 2.77
Ir2 0.2500 0.2500 0.7500 (multiplicity 4)  4 Tl 2.77, 4 Ir 2.77

Results
As for the crystal system: cubic. The calculation puts the size of the total moment at 0.00 μB/cell. The electronic total energy comes out at -6.99 eV per atom.

Record 6
A plane-wave DFT calculation with PBE-GGA was carried out for TlTc2Ir after structural relaxation.

a = 6.4201 Å, b = 6.4201 Å, c = 6.4201 Å
α = 90.00°, β = 90.00°, γ = 90.00°
Closest atoms and distances in Å follow each position.
Space group F-43m (No. 216)
One atom of each set of equivalent atoms:
Tl1 0.0000 0.0000 0.0000 (multiplicity 4)  4 Tc 2.78, 4 Ir 2.78
Tc1 0.0000 0.0000 0.5000 (multiplicity 4)  4 Tc 2.78, 4 Ir 2.78
Tc2 0.2500 0.2500 0.7500 (multiplicity 4)  4 Tl 2.78, 4 Tc 2.78
Ir1 0.2500 0.2500 0.2500 (multiplicity 4)  4 Tl 2.78, 4 Tc 2.78

Results
As for the crystal system: cubic. The calculation puts the size of the total moment at 8.22 μB/cell. The electronic total energy comes out at -7.39 eV per atom.

Record 7
A plane-wave DFT calculation with PBE-GGA was carried out for TmTcIr after structural relaxation.

a = 6.3194 Å, b = 6.3194 Å, c = 6.3194 Å
α = 90.00°, β = 90.00°, γ = 90.00°
Closest atoms and distances in Å follow each position.
Space group F-43m (No. 216)
One atom of each set of equivalent atoms:
Tm1 0.0000 0.0000 0.0000 (multiplicity 4)  4 Tc 2.74, 4 Ir 2.74
Tc1 0.2500 0.2500 0.2500 (multiplicity 4)  4 Tm 2.74
Ir1 0.2500 0.2500 0.7500 (multiplicity 4)  4 Tm 2.74

Results
As for the crystal system: cubic. Its energy relative to the elements is 0.843 eV/atom. The calculation puts the size of the total moment at 10.55 μB/cell. The electronic total energy comes out at -7.05 eV per atom.

Record 8
A plane-wave DFT calculation with PBE-GGA was carried out for UTcIr after structural relaxation.

a = 6.2646 Å, b = 6.2646 Å, c = 6.2646 Å
α = 90.00°, β = 90.00°, γ = 90.00°
Closest atoms and distances in Å follow each position.
Space group F-43m (No. 216)
One atom of each set of equivalent atoms:
U1 0.0000 0.0000 0.0000 (multiplicity 4)  4 Ir 2.71
Tc1 0.0000 0.0000 0.5000 (multiplicity 4)  4 Ir 2.71
Ir1 0.2500 0.2500 0.7500 (multiplicity 4)  4 Tc 2.71, 4 U 2.71

Results
As for the crystal system: cubic. The calculation puts the energy above the most stable polymorph in this dataset at 0.346 kcal/mol of atoms. Its energy relative to the elements is 0.279 eV/atom. The calculation puts the size of the total moment at 0.13 μB/cell. The electronic total energy comes out at -9.89 eV per atom.